No. 1
The following is a GGA-PBE calculation of a relaxed structure of Gd2CS, from the Alexandria database.

Calculated values
For the total magnetic moment, the calculation gives 3.4989 μB per atom. The space group is R-3m (166). Its calculated density is 7522 kg/m3. For the formation energy from raw total energies, the calculation gives -28.22 kcal/mol of atoms.

abc: 6.796 6.796 6.796
angles: 32.19 32.19 32.19
Fractional coordinates of all 4 atoms:
Gd  0.238  0.238  0.238
Gd  0.762  0.762  0.762
C  0.500  0.500  0.500
S  0.000  0.000  0.000

---

No. 2
The following is a GGA-PBE calculation of a relaxed structure of K4Tb3AlSe8, from the Alexandria database.

Calculated values
For the total magnetic moment, the calculation gives 0.0000 μB per atom. The space group is R-3m (166). Its calculated density is 4679 kg/m3. For the formation energy from raw total energies, the calculation gives -35.47 kcal/mol of atoms.

abc: 9.051 9.051 9.051
angles: 54.61 54.61 54.61
Fractional coordinates of all 16 atoms:
K  0.000  0.000  0.000
K  0.000  0.500  0.500
K  0.500  0.000  0.500
K  0.500  0.500  0.000
Tb  0.000  0.000  0.500
Tb  0.000  0.500  0.000
Tb  0.500  0.000  0.000
Al  0.500  0.500  0.500
Se  0.236  0.236  0.236
Se  0.254  0.721  0.721
Se  0.279  0.279  0.746
Se  0.279  0.746  0.279
Se  0.721  0.254  0.721
Se  0.721  0.721  0.254
Se  0.746  0.279  0.279
Se  0.764  0.764  0.764

---

No. 3
The following is a GGA-PBE calculation of a relaxed structure of AuC2, from the Alexandria database.

Calculated values
For the total magnetic moment, the calculation gives 0.0000 μB per atom. The space group is C2/m (12). Its calculated density is 9645 kg/m3. The formation energy is 1.1142 eV per atom. As for the energy relative to the lowest polymorph listed for this composition: 2.54 eV/f.u.

abc: 3.937 3.937 7.774
angles: 93.04 93.04 39.23
Fractional coordinates of all 6 atoms:
Au  0.025  0.025  0.306
Au  0.975  0.975  0.694
C  0.254  0.254  0.955
C  0.264  0.264  0.769
C  0.736  0.736  0.231
C  0.746  0.746  0.045

---

No. 4
The following is a GGA-PBE calculation of a relaxed structure of Er2TlZn3, from the Alexandria database.

Calculated values
For the total magnetic moment, the calculation gives 0.0000 μB per atom. The space group is Imm2 (44). Its calculated density is 9069 kg/m3. The formation energy is -0.2283 eV per atom. As for the energy relative to the lowest polymorph listed for this composition: 0.58 eV/f.u.

abc: 8.565 8.565 8.565
angles: 153.40 151.36 39.48
Fractional coordinates of all 6 atoms:
Er  0.000  0.000  0.000
Er  0.781  0.281  0.500
Tl  0.600  0.600  0.000
Zn  0.198  0.698  0.500
Zn  0.349  0.849  0.500
Zn  0.434  0.434  0.000